14
Lattice="-5.035 -3.283 1.065 4.949 -2.682 -2.361 2.543 -1.586 7.132" Properties=species:S:1:pos:R:3 comment="K3ErMo2O8 (PBE+U, relaxed)" n_ef_per_ev_cell=6.167 spacegroup=P-3m1 total_energy_ev_per_cell=-89.941 volume_a3_per_atom=17.83 pbc="T T T"
K 3.311 -3.936 3.523
K -0.855 -3.614 2.314
K 0.000 0.000 0.000
Er 1.271 -0.793 3.566
Mo 2.199 -3.243 0.402
Mo 0.258 -4.308 5.435
O 4.150 -4.459 5.876
O -1.693 -3.091 -0.039
O 4.083 -3.303 0.555
O -1.626 -4.247 5.282
O 1.659 -1.989 1.711
O 0.798 -5.561 4.126
O 1.617 -4.911 1.077
O 0.840 -2.640 4.760